Computed, not measured: a relaxed structure of TcAgP2 at the PBE level of DFT.

The magnetic moment comes out at 0.00 μB/f.u. As for the energy above the most stable polymorph in this dataset: 395 meV per atom. For the calculated formation energy, the calculation gives 0.3247 eV per atom. Its volume is 15.96 Å³ per atom.

It has space group P4mm (No. 99), with a = 2.916 Å, b = 2.916 Å, c = 7.511 Å, α = 90.00°, β = 90.00° and γ = 90.00°. Symmetry generates all atoms from Tc at (0.000, 0.000, 0.000), Ag at (0.500, 0.500, 0.286), P at (0.000, 0.000, 0.546) and P at (0.500, 0.500, 0.842).


Computed, not measured: a relaxed structure of TcAgP2 at the PBE level of DFT.

The magnetic moment comes out at 0.00 μB/f.u. As for the energy above the most stable polymorph in this dataset: 411 meV per atom. For the calculated formation energy, the calculation gives 0.3412 eV per atom. Its volume is 16.27 Å³ per atom.

It has space group P2/m (No. 10), with a = 2.586 Å, b = 4.339 Å, c = 5.800 Å, α = 90.00°, β = 90.90° and γ = 90.00°. Symmetry generates all atoms from Tc at (0.000, 0.000, 0.000), Ag at (0.000, 0.000, 0.500) and P at (0.008, 0.500, 0.206).


Computed, not measured: a relaxed structure of TcAg3P at the PBE level of DFT.

The magnetic moment comes out at 3.32 μB/f.u. As for the energy above the most stable polymorph in this dataset: 0 meV per atom. For the calculated formation energy, the calculation gives 0.9664 eV per atom. Its volume is 20.41 Å³ per atom.

It has space group Pm-3m (No. 221), with a = 4.673 Å, b = 4.673 Å, c = 4.673 Å, α = 90.00°, β = 90.00° and γ = 90.00°. Symmetry generates all atoms from Tc at (0.000, 0.000, 0.000), Ag at (0.000, 0.500, 0.500) and P at (0.500, 0.500, 0.500).